# Na2FeCo, relaxed, DFT PBE-GGA
data_Na2FeCo
_symmetry_space_group_name_H-M 'F m -3 m'
_symmetry_Int_Tables_number 225
_symmetry_space_group_name_Hall '-F 4 2 3'
_cell_length_a 6.673
_cell_length_b 6.673
_cell_length_c 6.673
_cell_angle_alpha 90.00
_cell_angle_beta 90.00
_cell_angle_gamma 90.00
loop_
_atom_site_label
_atom_site_fract_x
_atom_site_fract_y
_atom_site_fract_z
_atom_site_occupancy
Na1 0.250 0.250 0.250 1
Fe1 0.000 0.000 0.000 1
Co1 0.000 0.000 0.500 1
# energy above the most stable polymorph in this dataset	146.1	meV per atom
# energy of formation from the pure elements	1.15	eV per atom


# Li2Zn4CuPd, relaxed, DFT PBE-GGA
data_Li2Zn4CuPd
_symmetry_space_group_name_H-M 'P 1 2/m 1'
_symmetry_Int_Tables_number 10
_cell_length_a 4.319
_cell_length_b 4.282
_cell_length_c 5.986
_cell_angle_alpha 90.00
_cell_angle_beta 90.23
_cell_angle_gamma 90.00
loop_
_symmetry_equiv_pos_as_xyz
'x,y,z'
'-x,-y,-z'
'-x,y,-z'
'x,-y,z'
loop_
_atom_site_label
_atom_site_fract_x
_atom_site_fract_y
_atom_site_fract_z
_atom_site_occupancy
Li1 0.000 0.000 0.000 1
Li2 0.500 0.500 0.500 1
Zn1 0.000 0.500 0.240 1
Zn2 0.500 0.000 0.241 1
Cu1 0.500 0.500 0.000 1
Pd1 0.000 0.000 0.500 1
# energy of formation from the pure elements	-0.31	eV per atom


# SrMgSb2, relaxed, DFT PBE-GGA
data_SrMgSb2
_symmetry_space_group_name_H-M 'P 1 2/m 1'
_symmetry_Int_Tables_number 10
_cell_length_a 3.560
_cell_length_b 4.318
_cell_length_c 7.883
_cell_angle_alpha 90.00
_cell_angle_beta 102.62
_cell_angle_gamma 90.00
loop_
_symmetry_equiv_pos_as_xyz
'x,y,z'
'-x,-y,-z'
'-x,y,-z'
'x,-y,z'
loop_
_atom_site_label
_atom_site_fract_x
_atom_site_fract_y
_atom_site_fract_z
_atom_site_occupancy
Sr1 0.000 0.000 0.000 1
Mg1 0.000 0.000 0.500 1
Sb1 0.391 0.500 0.731 1
# formation energy (no corrections)	-0.45	eV/atom


# Cs3GaCl6, relaxed, DFT PBE-GGA
data_Cs3GaCl6
_symmetry_space_group_name_H-M 'P 1 21/c 1'
_symmetry_Int_Tables_number 14
_cell_length_a 7.895
_cell_length_b 8.122
_cell_length_c 13.707
_cell_angle_alpha 90.00
_cell_angle_beta 124.64
_cell_angle_gamma 90.00
loop_
_symmetry_equiv_pos_as_xyz
'x,y,z'
'-x,-y,-z'
'-x,y+1/2,-z+1/2'
'x,-y+1/2,z+1/2'
loop_
_atom_site_label
_atom_site_fract_x
_atom_site_fract_y
_atom_site_fract_z
_atom_site_occupancy
Cs1 0.000 0.000 0.000 1
Cs2 0.266 0.053 0.751 1
Ga1 0.500 0.000 0.500 1
Cl1 0.218 0.022 0.294 1
Cl2 0.289 0.667 0.037 1
Cl3 0.382 0.247 0.544 1
# energy above the most stable polymorph in this dataset	21.9	meV per atom
# formation energy (no corrections)	-1.64	eV/atom


# KP4N3O16, relaxed, DFT PBE-GGA
data_KP4N3O16
_symmetry_space_group_name_H-M 'P -4'
_symmetry_Int_Tables_number 81
_cell_length_a 8.081
_cell_length_b 8.081
_cell_length_c 7.928
_cell_angle_alpha 90.00
_cell_angle_beta 90.00
_cell_angle_gamma 90.00
loop_
_symmetry_equiv_pos_as_xyz
'x,y,z'
'y,-x,-z'
'-x,-y,z'
'-y,x,-z'
loop_
_atom_site_label
_atom_site_fract_x
_atom_site_fract_y
_atom_site_fract_z
_atom_site_occupancy
K1 0.000 0.000 0.000 1
P1 0.000 0.000 0.500 1
P2 0.000 0.500 0.185 1
P3 0.500 0.500 0.000 1
N1 0.000 0.500 0.685 1
N2 0.500 0.500 0.500 1
O1 0.007 0.660 0.081 1
O2 0.080 0.121 0.626 1
O3 0.156 0.472 0.295 1
O4 0.355 0.436 0.892 1
# formation energy (no corrections)	-0.23	eV/atom


# LaPuSeS, relaxed, DFT PBE-GGA
data_LaPuSeS
_symmetry_space_group_name_H-M 'R 3 m'
_symmetry_Int_Tables_number 160
_symmetry_space_group_name_Hall 'R 3 -2"'
_cell_length_a 4.1229
_cell_length_b 4.1229
_cell_length_c 20.5525
_cell_angle_alpha 90.00
_cell_angle_beta 90.00
_cell_angle_gamma 120.00
loop_
_atom_site_label
_atom_site_fract_x
_atom_site_fract_y
_atom_site_fract_z
_atom_site_occupancy
La1 0.0000 0.0000 0.0000 1
Pu1 0.0000 0.0000 0.5102 1
Se1 0.0000 0.0000 0.7592 1
S1 0.0000 0.0000 0.2500 1
# formation energy (no corrections)	-1.86	eV/atom